Record 1
This record from Alexandria describes Ta2Al2Ge after structural relaxation. The functional is PBE.

Values from the calculation:
ΔE_f ... -0.058 eV/atom
Energy above the lowest structure with this stoichiometry ... 0.0 kJ per mole of atoms

The structure in CIF format:
```
data_Ta2Al2Ge
_chemical_formula_sum 'Ta4 Al4 Ge2'
_symmetry_space_group_name_H-M 'P 1'
_symmetry_Int_Tables_number 1
_symmetry_space_group_name_Hall 'P 1'
_cell_length_a 6.693
_cell_length_b 6.693
_cell_length_c 4.046
_cell_angle_alpha 90.00
_cell_angle_beta 90.00
_cell_angle_gamma 90.00
loop_
_atom_site_label
_atom_site_fract_x
_atom_site_fract_y
_atom_site_fract_z
Al1 0.649 0.851 0.500
Al2 0.351 0.149 0.500
Al3 0.149 0.649 0.500
Al4 0.851 0.351 0.500
Ge1 0.500 0.500 0.000
Ge2 0.000 0.000 0.000
Ta1 0.851 0.649 0.000
Ta2 0.351 0.851 0.000
Ta3 0.149 0.351 0.000
Ta4 0.649 0.149 0.000
```

---

Record 2
This record from Alexandria describes Ce2PmPr3S6 after structural relaxation. The functional is PBE.

Values from the calculation:
Uncorrected formation energy ... -2.04 eV per atom

The structure in CIF format:
```
data_Ce2PmPr3S6
_chemical_formula_sum 'Ce2 Pm1 Pr3 S6'
_symmetry_space_group_name_H-M 'P 1'
_symmetry_Int_Tables_number 1
_symmetry_space_group_name_Hall 'P 1'
_cell_length_a 7.043
_cell_length_b 7.043
_cell_length_c 7.055
_cell_angle_alpha 99.59
_cell_angle_beta 99.59
_cell_angle_gamma 120.06
loop_
_atom_site_label
_atom_site_fract_x
_atom_site_fract_y
_atom_site_fract_z
S1 0.919 0.584 0.756
S2 0.253 0.253 0.757
S3 0.747 0.747 0.243
S4 0.081 0.416 0.244
S5 0.416 0.081 0.244
S6 0.584 0.919 0.756
Ce1 0.334 0.666 0.000
Ce2 0.666 0.334 0.000
Pr1 0.165 0.835 0.500
Pr2 0.500 0.500 0.500
Pr3 0.835 0.165 0.500
Pm1 0.000 0.000 0.000
```

---

Record 3
This record from Alexandria describes Dy2RuPb after structural relaxation. The functional is PBE.

Values from the calculation:
ΔE_f ... -0.267 eV/atom
Energy above the lowest structure with this stoichiometry ... 19.8 kJ per mole of atoms

The structure in CIF format:
```
data_Dy2RuPb
_chemical_formula_sum 'Dy2 Ru1 Pb1'
_symmetry_space_group_name_H-M 'P 1'
_symmetry_Int_Tables_number 1
_symmetry_space_group_name_Hall 'P 1'
_cell_length_a 3.604
_cell_length_b 3.604
_cell_length_c 9.354
_cell_angle_alpha 78.89
_cell_angle_beta 78.89
_cell_angle_gamma 60.00
loop_
_atom_site_label
_atom_site_fract_x
_atom_site_fract_y
_atom_site_fract_z
Dy1 0.265 0.265 0.204
Dy2 0.735 0.735 0.796
Ru1 0.000 0.000 0.000
Pb1 0.500 0.500 0.500
```

---

Record 4
This record from Alexandria describes ZnHg3 after structural relaxation. The functional is PBE.

Values from the calculation:
ΔE_f ... 0.068 eV/atom
Energy above the lowest structure with this stoichiometry ... 0.0 kJ per mole of atoms

The structure in CIF format:
```
data_ZnHg3
_chemical_formula_sum 'Zn4 Hg12'
_symmetry_space_group_name_H-M 'P 1'
_symmetry_Int_Tables_number 1
_symmetry_space_group_name_Hall 'P 1'
_cell_length_a 6.664
_cell_length_b 8.711
_cell_length_c 6.692
_cell_angle_alpha 90.00
_cell_angle_beta 90.00
_cell_angle_gamma 90.00
loop_
_atom_site_label
_atom_site_fract_x
_atom_site_fract_y
_atom_site_fract_z
Hg1 0.214 0.451 0.368
Hg2 0.495 0.250 0.647
Hg3 0.286 0.951 0.868
Hg4 0.714 0.451 0.132
Hg5 0.786 0.549 0.632
Hg6 0.005 0.750 0.147
Hg7 0.786 0.951 0.632
Hg8 0.286 0.549 0.868
Hg9 0.995 0.250 0.853
Hg10 0.505 0.750 0.353
Hg11 0.214 0.049 0.368
Hg12 0.714 0.049 0.132
Zn1 0.868 0.250 0.431
Zn2 0.368 0.250 0.069
Zn3 0.132 0.750 0.569
Zn4 0.632 0.750 0.931
```

---

Values of total moment, in order: 0.00 1.57 0.00 0.00, all in μB/cell.
Values of volume, in order: 181 285 103 388, all in Å³/cell.